Record 1
The following is a DFT calculation (PBE-GGA) of crystalline NaTc2Sn2 at its relaxed geometry.

The calculation puts the calculated formation energy at 266 meV/atom. The final energy comes out at -5.75 eV/atom. The energy above the most stable polymorph in this dataset is 4.2 kJ per mole of atoms.

Lattice parameters (Å, degrees): 4.9571 4.9571 9.1648 90.00 90.00 90.00
Closest atoms and distances in Å follow each position.
Space group I4/mmm (No. 139)
Inequivalent atoms, fractional coordinates:
Na: 0.0000 0.0000 0.0000 [2 per cell]  8 Sn 3.38, 10 Tc 3.49-3.67
Tc: 0.0000 0.0000 0.3808 [4 per cell]  1 Tc 2.19
Sn: 0.0000 0.5000 0.2500 [4 per cell]  4 Tc 2.75

---

Record 2
The following is a DFT calculation (PBE-GGA) of crystalline Cs2Cd3Bi5 at its relaxed geometry.

The calculation puts the calculated formation energy at -129 meV/atom. The final energy comes out at -2.51 eV/atom. The energy above the most stable polymorph in this dataset is 4.7 kJ per mole of atoms.

Lattice parameters (Å, degrees): 5.7713 5.7713 11.7532 90.00 90.00 90.00
Closest atoms and distances in Å follow each position.
Space group P-4m2 (No. 115)
Inequivalent atoms, fractional coordinates:
Cs: 0.0000 0.5000 0.2461 [2 per cell]  7 Cd 4.09-4.39, 11 Bi 4.09-4.40
Cd: 0.0000 0.0000 0.0000 [1 per cell]  4 Cd 3.15
Cd: 0.0000 0.5000 0.8919 [2 per cell]  3 Bi 3.15-3.19, 2 Cd 3.15
Bi: 0.0000 0.0000 0.5000 [1 per cell]  4 Bi 3.21
Bi: 0.0000 0.5000 0.6205 [2 per cell]  1 Cd 3.19, 4 Bi 3.21
Bi: 0.5000 0.5000 0.0000 [1 per cell]  4 Cd 3.15
Bi: 0.5000 0.5000 0.5000 [1 per cell]  4 Bi 3.21

---

Record 3
The following is a DFT calculation (PBE-GGA) of crystalline Zr2InTc at its relaxed geometry.

The calculation puts the calculated formation energy at 363 meV/atom. The final energy comes out at -7.19 eV/atom. The energy above the most stable polymorph in this dataset is 71.1 kJ per mole of atoms.

Lattice parameters (Å, degrees): 3.2426 4.3562 13.3285 90.00 90.00 90.00
Closest atoms and distances in Å follow each position.
Space group Immm (No. 71)
Inequivalent atoms, fractional coordinates:
Zr: 0.0000 0.0000 0.1829 [4 per cell]  1 Tc 2.44
In: 0.0000 0.0000 0.5000 [2 per cell]  4 Tc 2.72
Tc: 0.0000 0.0000 0.0000 [2 per cell]  2 Zr 2.44, 4 In 2.72